1.
A geometry-optimized Sc2NbGeC structure. Source: Alexandria, functional PBE.

Unit cell a=4.4566 b=4.4566 c=4.2612 alpha=90.00 beta=90.00 gamma=90.00
Positions (direct):
Sc 0.0000 0.5000 0.0000
Sc 0.5000 0.0000 0.0000
Nb 0.0000 0.0000 0.5000
Ge 0.5000 0.5000 0.5000
C 0.0000 0.0000 0.0000



2.
A geometry-optimized Sm2Nb2Ge2C structure. Source: Alexandria, functional PBE.

Unit cell a=4.2927 b=4.2927 c=15.4827 alpha=90.00 beta=90.00 gamma=90.00
Positions (direct):
Sm 0.0000 0.0000 0.1664
Sm 0.0000 0.0000 0.8336
Sm 0.5000 0.5000 0.3336
Sm 0.5000 0.5000 0.6664
Nb 0.0000 0.5000 0.0000
Nb 0.0000 0.5000 0.5000
Nb 0.5000 0.0000 0.0000
Nb 0.5000 0.0000 0.5000
Ge 0.0000 0.0000 0.3748
Ge 0.0000 0.0000 0.6252
Ge 0.5000 0.5000 0.1252
Ge 0.5000 0.5000 0.8748
C 0.0000 0.0000 0.0000
C 0.5000 0.5000 0.5000



3.
A geometry-optimized TaNbGe2C structure. Source: Alexandria, functional PBE.

Unit cell a=4.3840 b=4.3840 c=4.1055 alpha=90.00 beta=90.00 gamma=90.00
Positions (direct):
Ta 0.0000 0.0000 0.0000
Nb 0.5000 0.5000 0.0000
Ge 0.0000 0.5000 0.5000
Ge 0.5000 0.0000 0.5000
C 0.0000 0.0000 0.5000



4.
A geometry-optimized TiNbGe2C structure. Source: Alexandria, functional PBE.

Unit cell a=4.9891 b=4.9891 c=4.0468 alpha=90.00 beta=90.00 gamma=90.00
Positions (direct):
Ti 0.0000 0.0000 0.0000
Nb 0.5000 0.5000 0.5000
Ge 0.0000 0.5000 0.5000
Ge 0.5000 0.0000 0.5000
C 0.5000 0.5000 0.0000



5.
A geometry-optimized YNbGeC2 structure. Source: Alexandria, functional PBE.

Unit cell a=4.2629 b=4.2629 c=5.7630 alpha=90.00 beta=90.00 gamma=90.00
Positions (direct):
Y 0.0000 0.0000 0.0000
Nb 0.0000 0.0000 0.5000
Ge 0.5000 0.5000 0.5000
C 0.0000 0.5000 0.0000
C 0.5000 0.0000 0.0000



6.
A geometry-optimized Y2Nb2Ge2C structure. Source: Alexandria, functional PBE.

Unit cell a=4.2718 b=4.2718 c=15.1153 alpha=90.00 beta=90.00 gamma=90.00
Positions (direct):
Y 0.0000 0.0000 0.1663
Y 0.0000 0.0000 0.8337
Y 0.5000 0.5000 0.3337
Y 0.5000 0.5000 0.6663
Nb 0.0000 0.5000 0.0000
Nb 0.0000 0.5000 0.5000
Nb 0.5000 0.0000 0.0000
Nb 0.5000 0.0000 0.5000
Ge 0.0000 0.0000 0.3712
Ge 0.0000 0.0000 0.6288
Ge 0.5000 0.5000 0.1288
Ge 0.5000 0.5000 0.8712
C 0.0000 0.0000 0.0000
C 0.5000 0.5000 0.5000



7.
A geometry-optimized Nd12Ge3C5 structure. Source: Alexandria, functional PBE.

Unit cell a=14.0099 b=14.0099 c=14.0099 alpha=109.47 beta=109.47 gamma=109.47
Positions (direct):
Nd 0.0261 0.2063 0.1200
Nd 0.0261 0.3197 0.9061
Nd 0.0864 0.7063 0.6803
Nd 0.0864 0.8800 0.4061
Nd 0.0939 0.6200 0.4136
Nd 0.0939 0.9739 0.6803
Nd 0.1200 0.0261 0.2063
Nd 0.1200 0.5939 0.9136
Nd 0.1803 0.2063 0.5864
Nd 0.1803 0.4739 0.5939
Nd 0.2063 0.1200 0.0261
Nd 0.2063 0.5864 0.1803
Nd 0.2937 0.3197 0.9136
Nd 0.2937 0.4739 0.3800
Nd 0.3197 0.9061 0.0261
Nd 0.3197 0.9136 0.2937
Nd 0.3800 0.2937 0.4739
Nd 0.3800 0.5864 0.9061
Nd 0.4061 0.0864 0.8800
Nd 0.4061 0.8197 0.5261
Nd 0.4136 0.0939 0.6200
Nd 0.4136 0.8197 0.7937
Nd 0.4739 0.3800 0.2937
Nd 0.4739 0.5939 0.1803
Nd 0.5261 0.4061 0.8197
Nd 0.5261 0.6200 0.7063
Nd 0.5864 0.1803 0.2063
Nd 0.5864 0.9061 0.3800
Nd 0.5939 0.1803 0.4739
Nd 0.5939 0.9136 0.1200
Nd 0.6200 0.4136 0.0939
Nd 0.6200 0.7063 0.5261
Nd 0.6803 0.0864 0.7063
Nd 0.6803 0.0939 0.9739
Nd 0.7063 0.5261 0.6200
Nd 0.7063 0.6803 0.0864
Nd 0.7937 0.4136 0.8197
Nd 0.7937 0.8800 0.9739
Nd 0.8197 0.5261 0.4061
Nd 0.8197 0.7937 0.4136
Nd 0.8800 0.4061 0.0864
Nd 0.8800 0.9739 0.7937
Nd 0.9061 0.0261 0.3197
Nd 0.9061 0.3800 0.5864
Nd 0.9136 0.1200 0.5939
Nd 0.9136 0.2937 0.3197
Nd 0.9739 0.6803 0.0939
Nd 0.9739 0.7937 0.8800
Ge 0.1250 0.2500 0.3750
Ge 0.1250 0.3750 0.7500
Ge 0.2500 0.3750 0.1250
Ge 0.2500 0.8750 0.6250
Ge 0.3750 0.1250 0.2500
Ge 0.3750 0.7500 0.1250
Ge 0.6250 0.2500 0.8750
Ge 0.6250 0.8750 0.7500
Ge 0.7500 0.1250 0.3750
Ge 0.7500 0.6250 0.8750
Ge 0.8750 0.6250 0.2500
Ge 0.8750 0.7500 0.6250
C 0.0000 0.0000 0.0000
C 0.0000 0.0000 0.5000
C 0.0000 0.5000 0.0000
C 0.0000 0.5000 0.5000
C 0.1250 0.7500 0.8750
C 0.1250 0.8750 0.2500
C 0.2500 0.1250 0.8750
C 0.2500 0.6250 0.3750
C 0.3750 0.2500 0.6250
C 0.3750 0.6250 0.7500
C 0.5000 0.0000 0.0000
C 0.5000 0.0000 0.5000
C 0.5000 0.5000 0.0000
C 0.5000 0.5000 0.5000
C 0.6250 0.3750 0.2500
C 0.6250 0.7500 0.3750
C 0.7500 0.3750 0.6250
C 0.7500 0.8750 0.1250
C 0.8750 0.1250 0.7500
C 0.8750 0.2500 0.1250



8.
A geometry-optimized Nd3GeC structure. Source: Alexandria, functional PBE.

Unit cell a=8.3352 b=4.0009 c=14.5484 alpha=90.00 beta=90.00 gamma=90.00
Positions (direct):
Nd 0.0237 0.2500 0.1021
Nd 0.1630 0.2500 0.5062
Nd 0.1990 0.7500 0.2910
Nd 0.3010 0.2500 0.7910
Nd 0.3370 0.7500 0.0062
Nd 0.4763 0.7500 0.6021
Nd 0.5237 0.2500 0.3979
Nd 0.6630 0.2500 0.9938
Nd 0.6990 0.7500 0.2090
Nd 0.8010 0.2500 0.7090
Nd 0.8370 0.7500 0.4938
Nd 0.9763 0.7500 0.8979
Ge 0.0868 0.7500 0.6731
Ge 0.4132 0.2500 0.1731
Ge 0.5868 0.7500 0.8269
Ge 0.9132 0.2500 0.3269
C 0.1622 0.2500 0.9394
C 0.3378 0.7500 0.4394
C 0.6622 0.2500 0.5606
C 0.8378 0.7500 0.0606



9.
A geometry-optimized Nd4Ge2C structure. Source: Alexandria, functional PBE.

Unit cell a=4.9068 b=4.9068 c=15.8091 alpha=90.00 beta=90.00 gamma=90.00
Positions (direct):
Nd 0.0000 0.0000 0.1706
Nd 0.0000 0.0000 0.8294
Nd 0.0000 0.5000 0.0000
Nd 0.0000 0.5000 0.5000
Nd 0.5000 0.0000 0.0000
Nd 0.5000 0.0000 0.5000
Nd 0.5000 0.5000 0.3294
Nd 0.5000 0.5000 0.6706
Ge 0.0000 0.0000 0.3642
Ge 0.0000 0.0000 0.6358
Ge 0.5000 0.5000 0.1358
Ge 0.5000 0.5000 0.8642
C 0.0000 0.0000 0.0000
C 0.5000 0.5000 0.5000

Calculated values
- ΔE to the lowest computed polymorph (eV/f.u.) = 0.217



10.
A geometry-optimized Nd4Ge2C structure. Source: Alexandria, functional PBE.

Unit cell a=8.2499 b=8.2499 c=7.4107 alpha=90.00 beta=90.00 gamma=131.22
Positions (direct):
Nd 0.1724 0.8276 0.9268
Nd 0.2269 0.2731 0.7500
Nd 0.2731 0.2269 0.2500
Nd 0.3276 0.6724 0.4268
Nd 0.6724 0.3276 0.5732
Nd 0.7269 0.7731 0.7500
Nd 0.7731 0.7269 0.2500
Nd 0.8276 0.1724 0.0732
Ge 0.1329 0.8671 0.5369
Ge 0.3671 0.6329 0.0369
Ge 0.6329 0.3671 0.9631
Ge 0.8671 0.1329 0.4631
C 0.0000 0.0000 0.0000
C 0.5000 0.5000 0.5000

Calculated values
- ΔE to the lowest computed polymorph (eV/f.u.) = 0.000



11.
A geometry-optimized Nd12Ge6C structure. Source: Alexandria, functional PBE.

Unit cell a=8.4414 b=8.4414 c=8.4414 alpha=98.38 beta=98.38 gamma=98.38
Positions (direct):
Nd 0.0285 0.6928 0.9337
Nd 0.0663 0.9715 0.3072
Nd 0.1874 0.4286 0.5667
Nd 0.3072 0.0663 0.9715
Nd 0.4286 0.5667 0.1874
Nd 0.4333 0.8126 0.5714
Nd 0.5667 0.1874 0.4286
Nd 0.5714 0.4333 0.8126
Nd 0.6928 0.9337 0.0285
Nd 0.8126 0.5714 0.4333
Nd 0.9337 0.0285 0.6928
Nd 0.9715 0.3072 0.0663
Ge 0.1234 0.6230 0.2948
Ge 0.2948 0.1234 0.6230
Ge 0.3770 0.7052 0.8766
Ge 0.6230 0.2948 0.1234
Ge 0.7052 0.8766 0.3770
Ge 0.8766 0.3770 0.7052
C 0.0000 0.0000 0.0000



12.
A geometry-optimized Nd5Ge3C structure. Source: Alexandria, functional PBE.

Unit cell a=8.8469 b=8.8469 c=6.7994 alpha=90.00 beta=90.00 gamma=120.00
Positions (direct):
Nd 0.0000 0.2218 0.2500
Nd 0.0000 0.7782 0.7500
Nd 0.2218 0.0000 0.2500
Nd 0.2218 0.2218 0.7500
Nd 0.3333 0.6667 0.0000
Nd 0.3333 0.6667 0.5000
Nd 0.6667 0.3333 0.0000
Nd 0.6667 0.3333 0.5000
Nd 0.7782 0.0000 0.7500
Nd 0.7782 0.7782 0.2500
Ge 0.0000 0.4127 0.7500
Ge 0.0000 0.5873 0.2500
Ge 0.4127 0.0000 0.7500
Ge 0.4127 0.4127 0.2500
Ge 0.5873 0.0000 0.2500
Ge 0.5873 0.5873 0.7500
C 0.0000 0.0000 0.0000
C 0.0000 0.0000 0.5000



no.,formation energy from the elements (eV per atom),total energy (eV per atom)
1,-0.5079,-7.82
2,-0.6392,-7.50
3,0.6029,-7.47
4,1.0726,-6.21
5,2.4154,-5.50
6,-0.6548,-8.02
7,-0.2187,-6.08
8,-0.4290,-6.06
9,-0.4686,-5.83
10,-0.4996,-5.86
11,-0.4761,-5.43
12,-0.5966,-5.81